# PBE Ac5Tl2CoH, optimized geometry
# **Density**: 8792 kg/m³
# **Crystal system**: orthorhombic
# **SG**: Cmc2_1 (36)
# **Total energy**: -4.21 eV/atom
data_Ac5Tl2CoH
_symmetry_space_group_name_H-M 'P 1'
_symmetry_Int_Tables_number 1
_symmetry_space_group_name_Hall 'P 1'
_cell_length_a 4.2218
_cell_length_b 9.9866
_cell_length_c 14.7000
_cell_angle_alpha 90.00
_cell_angle_beta 90.00
_cell_angle_gamma 102.20
loop_
_atom_site_label
_atom_site_fract_x
_atom_site_fract_y
_atom_site_fract_z
Ac1 0.3377 0.6754 0.0215
Ac2 0.6886 0.3772 0.8884
Ac3 0.4991 0.9982 0.7651
Ac4 0.3082 0.6163 0.6594
Ac5 0.9610 0.9220 0.5071
Ac6 0.6623 0.3246 0.5215
Ac7 0.3114 0.6228 0.3883
Ac8 0.5009 0.0018 0.2651
Ac9 0.6918 0.3837 0.1594
Ac10 0.0390 0.0780 0.0071
Tl1 0.8727 0.7453 0.8412
Tl2 0.1272 0.2545 0.7044
Tl3 0.1273 0.2547 0.3412
Tl4 0.8728 0.7455 0.2044
Co1 0.8091 0.6182 0.5230
Co2 0.1909 0.3818 0.0230
H1 0.5580 0.1160 0.9139
H2 0.4420 0.8840 0.4139

---

# PBE AcZnCoH6, optimized geometry
# **Density**: 7056 kg/m³
# **Crystal system**: hexagonal
# **SG**: P-6m2 (187)
# **Total energy**: -3.89 eV/atom
data_AcZnCoH6
_symmetry_space_group_name_H-M 'P 1'
_symmetry_Int_Tables_number 1
_symmetry_space_group_name_Hall 'P 1'
_cell_length_a 4.5412
_cell_length_b 4.5413
_cell_length_c 4.7089
_cell_angle_alpha 90.00
_cell_angle_beta 90.00
_cell_angle_gamma 60.00
loop_
_atom_site_label
_atom_site_fract_x
_atom_site_fract_y
_atom_site_fract_z
Ac1 0.0000 0.0000 0.0000
Zn1 0.6666 0.6667 0.5000
Co1 0.3333 0.3333 0.5000
H1 0.0326 0.4835 0.2638
H2 0.4835 0.0326 0.7361
H3 0.4839 0.4835 0.7361
H4 0.0326 0.4839 0.7361
H5 0.4835 0.4839 0.2638
H6 0.4838 0.0326 0.2638

---

density of number 1 (Ac5Tl2CoH)? 8792 kg/m³

---

total energy of number 2 (AcZnCoH6)? -3.89 eV/atom

---

The lowest total energy belongs to which entry? Ac5Tl2CoH